Entry 1:
## Th3HgO (PBE)

Data for crystalline Th3HgO at its relaxed geometry.

Structure (extended XYZ):
```
5
Lattice="-3.4858 -3.0949 1.7539 3.0828 -1.4027 3.6516 -1.7752 3.6413 2.8974" Properties=species:S:1:pos:R:3 pbc="T T T"
O 0.0000 0.0000 0.0000
Hg -1.0891 -0.4282 4.1515
Th 1.5414 -0.7013 1.8258
Th -0.8876 1.8207 1.4487
Th -1.7429 -1.5475 0.8769
```

Computed properties:
Crystal system   cubic
ΔE_f (raw)   -1.071 eV per atom
E_tot   -6.575 eV/atom



Entry 2:
## TiHgO2 (PBE)

Data for crystalline TiHgO2 at its relaxed geometry.

Structure (extended XYZ):
```
8
Lattice="-2.0199 -1.1879 -1.8759 3.8416 -1.9068 -2.9288 -0.4743 -8.1199 5.6738" Properties=species:S:1:pos:R:3 pbc="T T T"
Ti 2.4308 -6.3029 0.0543
Ti -0.5336 -6.1675 0.7595
Hg 1.1784 -10.3204 1.5380
Hg 0.7273 -2.1623 -0.7469
O 0.7689 -5.8487 -0.8448
O -0.1302 -4.3345 1.5655
O 1.1330 -6.6226 1.6547
O -1.8115 -6.2315 2.1759
```

Computed properties:
Crystal system   triclinic
ΔE_f (raw)   -2.147 eV per atom
E_tot   -6.676 eV/atom



Entry 3:
## TiHg2O4 (PBE)

Data for crystalline TiHg2O4 at its relaxed geometry.

Structure (extended XYZ):
```
28
Lattice="6.6127 0.3912 0.3864 0.5366 8.6606 -0.5420 0.5365 -0.4348 8.6667" Properties=species:S:1:pos:R:3 pbc="T T T"
Ti 2.4263 8.3690 3.6721
Ti 5.7327 8.5185 3.9118
Ti 5.2595 4.8417 0.1881
Ti 1.9532 4.6000 0.0415
Hg 3.6745 1.8256 1.5453
Hg 0.5365 1.2817 6.9288
Hg 0.5366 7.9302 0.1975
Hg 4.0113 7.0491 6.7047
Hg 3.8429 5.0388 3.5161
Hg 0.9047 5.4851 5.6756
Hg 3.8429 2.5919 5.9934
Hg 6.7811 2.8741 3.0966
O 1.7878 1.3594 3.3967
O 5.2948 1.6483 4.9717
O 0.8252 7.6268 3.0316
O 5.6307 7.7216 5.5728
O 5.3302 0.7679 2.2726
O 1.9885 0.2484 5.9980
O 4.1315 7.8689 3.1777
O 2.5605 6.1992 4.6090
O 2.3555 6.3350 7.7713
O 6.8606 5.4913 0.9223
O 2.3910 3.6252 6.9243
O 5.1253 3.9317 2.3694
O 5.8980 5.2038 7.1938
O 3.5543 5.3422 0.6820
O 5.6973 2.6165 8.3368
O 2.0551 2.9490 0.8588
```

Computed properties:
Crystal system   monoclinic
ΔE_f (raw)   -1.399 eV per atom
E_tot   -5.446 eV/atom



Entry 4:
## TiHgO3 (PBE)

Data for crystalline TiHgO3 at its relaxed geometry.

Structure (extended XYZ):
```
10
Lattice="4.8667 -2.7227 0.0001 4.8667 2.7227 0.0001 3.3434 0.0000 4.4632" Properties=species:S:1:pos:R:3 pbc="T T T"
Ti 0.0000 0.0000 0.0000
Ti 6.5384 0.0000 2.2316
Hg 9.8076 0.0000 3.3475
Hg 3.2692 0.0000 1.1158
O 5.8275 -1.1380 0.7498
O 5.5776 1.5847 1.4819
O 4.9409 -0.4467 3.3474
O 7.2493 1.1380 3.7135
O 8.1359 0.4467 1.1159
O 7.4992 -1.5847 2.9813
```

Computed properties:
Crystal system   trigonal
ΔE_f (raw)   -1.833 eV per atom
E_tot   -6.447 eV/atom



Entry 5:
## TiHgO3 (PBE)

Data for crystalline TiHgO3 at its relaxed geometry.

Structure (extended XYZ):
```
20
Lattice="-2.4232 -4.3133 -1.4698 0.6959 2.7065 -9.0898 4.4056 -3.8101 3.9176" Properties=species:S:1:pos:R:3 pbc="T T T"
Ti 0.9551 -3.5945 -4.6105
Ti 1.7232 -1.8223 -2.0315
Ti 4.2760 -2.3705 -4.6163
Ti -1.5977 -3.0464 -2.0257
Hg -0.3647 -0.0827 -4.0478
Hg 3.0430 -5.3342 -2.5942
Hg 0.3957 -4.9543 -0.0667
Hg 2.2826 -0.4626 -6.5753
O -0.7430 -4.1817 -3.3554
O 3.4213 -1.2352 -3.2866
O -0.0012 -2.2352 -1.2293
O 2.6795 -3.1817 -5.4127
O 0.7978 -1.7599 -3.8257
O 1.8805 -3.6570 -2.8163
O -1.5111 -4.6019 -0.7403
O 4.1894 -0.8150 -5.9017
O -0.1839 -3.1294 -6.0311
O 2.8622 -2.2875 -0.6109
O 0.4924 0.0541 -7.4270
O 2.1859 -5.4710 0.7850
```

Computed properties:
Crystal system   monoclinic
ΔE_f (raw)   -1.881 eV per atom
E_tot   -6.496 eV/atom



Entry 6:
## TiHgO (PBE)

Data for crystalline TiHgO at its relaxed geometry.

Structure (extended XYZ):
```
6
Lattice="5.6263 1.4316 0.7921 4.0508 4.1587 0.7921 7.1968 4.1575 7.4401" Properties=species:S:1:pos:R:3 pbc="T T T"
Hg 3.4234 1.9777 0.9378
Hg 6.0771 3.5107 2.5421
Ti 8.8763 5.1277 4.2394
Ti 7.8211 4.5182 6.6808
O 7.3772 4.2617 4.9339
O 9.3202 5.3842 5.9863
```

Computed properties:
Crystal system   monoclinic
ΔE_f (raw)   -1.154 eV per atom
E_tot   -5.539 eV/atom



Entry 7:
## TiHgO3 (PBE)

Data for crystalline TiHgO3 at its relaxed geometry.

Structure (extended XYZ):
```
5
Lattice="3.8827 0.0000 0.0000 0.0000 3.8827 0.0000 0.0000 0.0000 3.8827" Properties=species:S:1:pos:R:3 pbc="T T T"
Hg 1.9413 1.9413 1.9413
O 0.0000 1.9413 0.0000
O 0.0000 0.0000 1.9413
O 1.9413 0.0000 0.0000
Ti 0.0000 0.0000 0.0000
```

Computed properties:
Crystal system   cubic
ΔE_f (raw)   -1.696 eV per atom
E_tot   -6.311 eV/atom



Entry 8:
## Ti2HgO (PBE)

Data for crystalline Ti2HgO at its relaxed geometry.

Structure (extended XYZ):
```
4
Lattice="2.9269 -0.7628 3.2613 0.9170 3.1935 2.9573 -1.4045 -0.3906 4.2023" Properties=species:S:1:pos:R:3 pbc="T T T"
Hg 1.2197 1.0201 5.2105
O 0.0000 0.0000 0.0000
Ti 0.6099 0.5100 2.6052
Ti 1.8296 1.5301 7.8157
```

Computed properties:
Crystal system   cubic
ΔE_f (raw)   -0.055 eV per atom
Offset from the most stable computed form   4.91 eV per formula unit
E_tot   -5.318 eV/atom